No. 1
Computed, not measured: a relaxed structure of BaSrRh3 at the PBEsol level of DFT.

Values from the calculation:
The value obtained for the uncorrected energy is -22.69 eV/f.u.

abc: 5.0612 5.0612 5.0612
angles: 90.00 90.00 90.00
Atoms (fractional coordinates):
Sr1 0.5000 0.5000 0.5000
Rh1 0.5000 0.0000 0.0000
Ba1 0.0000 0.0000 0.0000
Rh2 0.0000 0.0000 0.5000
Rh3 0.0000 0.5000 0.0000

---

No. 2
Computed, not measured: a relaxed structure of BaSrRh at the PBEsol level of DFT.

Values from the calculation:
The offset from the most stable computed form comes out at 0.0042 eV/atom. The value obtained for the uncorrected energy is -12.21 eV/f.u.

abc: 3.7120 3.7120 7.8396
angles: 103.74 103.72 89.90
Atoms (fractional coordinates):
Rh1 0.6694 0.6694 0.3389
Ba1 0.0479 0.0479 0.0957
Sr1 0.2827 0.2828 0.5654

---

No. 3
Computed, not measured: a relaxed structure of BaSrRh4 at the PBEsol level of DFT.

Values from the calculation:
The value obtained for the uncorrected energy is -37.11 eV/f.u.

abc: 5.4532 5.4532 5.4532
angles: 60.00 60.00 60.00
Atoms (fractional coordinates):
Rh1 0.3753 0.3753 0.3753
Rh2 0.3753 0.3753 0.8741
Ba1 0.0000 0.0000 0.0000
Rh3 0.3753 0.8741 0.3753
Rh4 0.8741 0.3753 0.3753
Sr1 0.7500 0.7500 0.7500

---

No. 4
Computed, not measured: a relaxed structure of BaSr3Rh at the PBEsol level of DFT.

Values from the calculation:
The offset from the most stable computed form comes out at 0.0000 eV/atom. The value obtained for the uncorrected energy is -16.47 eV/f.u.

abc: 6.9888 8.4420 8.4920
angles: 60.19 90.00 90.00
Atoms (fractional coordinates):
Ba1 0.7142 0.5867 0.8267
Sr1 0.1933 0.9247 0.6553
Sr2 0.1933 0.4200 0.6553
Sr3 0.6713 0.0879 0.8243
Sr4 0.1713 0.9121 0.1757
Rh1 0.9426 0.7478 0.5045
Ba2 0.2142 0.4133 0.1733
Sr5 0.6933 0.5800 0.3447
Sr6 0.6933 0.0753 0.3447
Rh2 0.4426 0.2522 0.4955

---

No. 5
Computed, not measured: a relaxed structure of BaSrRh at the PBEsol level of DFT.

Values from the calculation:
The offset from the most stable computed form comes out at 0.0039 eV/atom. The value obtained for the uncorrected energy is -12.21 eV/f.u.

abc: 4.3634 4.3634 6.9296
angles: 90.00 90.00 120.00
Atoms (fractional coordinates):
Ba1 0.0000 0.0000 0.8951
Sr1 0.6667 0.3333 0.4421
Rh1 0.3333 0.6667 0.6629

---

No. 6
Computed, not measured: a relaxed structure of BaSr3Rh at the PBEsol level of DFT.

Values from the calculation:
The offset from the most stable computed form comes out at 0.0469 eV/atom. The value obtained for the uncorrected energy is -16.24 eV/f.u.

abc: 5.9067 5.9067 5.9067
angles: 90.00 90.00 90.00
Atoms (fractional coordinates):
Rh1 0.0000 0.0000 0.0000
Ba1 0.5000 0.5000 0.5000
Sr1 0.0000 0.0000 0.5000
Sr2 0.5000 0.0000 0.0000
Sr3 0.0000 0.5000 0.0000

---

No. 7
Computed, not measured: a relaxed structure of BaSr2TaRh at the PBEsol level of DFT.

Values from the calculation:
The value obtained for the uncorrected energy is -23.19 eV/f.u.

abc: 4.7232 6.0278 6.0278
angles: 90.00 90.00 90.00
Atoms (fractional coordinates):
Ba1 0.5000 0.5000 0.5000
Sr1 0.0000 0.0000 0.5000
Rh1 0.5000 0.0000 0.0000
Ta1 0.0000 0.0000 0.0000
Sr2 0.0000 0.5000 0.0000

---

No. 8
Computed, not measured: a relaxed structure of BaSr2TiRh at the PBEsol level of DFT.

Values from the calculation:
The value obtained for the uncorrected energy is -14.05 eV/f.u.

abc: 4.8747 5.8285 5.8285
angles: 90.00 90.00 90.00
Last column: magnetic moment on the atom in μB.
Atoms (fractional coordinates):
Sr1 0.0000 0.0000 0.5000  0.00
Sr2 0.0000 0.5000 0.0000  0.00
Ti1 0.5000 0.0000 0.0000  0.00
Ba1 0.0000 0.0000 0.0000  0.01
Rh1 0.5000 0.5000 0.5000  0.16